CoRu2Br (PBE-GGA, relaxed); excess energy over the best structure of this formula in the dataset = 0.0 meV per atom; magnetization = 1.7 Bohr magnetons per cell; symmetry = No. 6; calculated volume = 68.20 Å³/cell; total energy = -25.15 eV per cell; formation energy from raw total energies = 546 meV per atom
1.0
3.429 0.000 0.000
0.000 2.855 0.000
-0.008 0.000 6.968
Co Ru Br
1 2 1
direct
0.000 0.000 0.000
0.001 0.000 0.377
0.500 0.500 0.194
0.002 0.500 0.706